A plane-wave DFT calculation with GGA-PBE was carried out for a relaxed SmTm2Cd crystal.

## Properties
The calculation puts the energy above the most stable polymorph in this dataset at 0.072 eV per atom. Its formation energy is -0.31 eV per formula unit.

abc: 3.5544 3.5544 32.1283
angles: 90.00 90.00 120.00
Space group R-3m (No. 166, hexagonal axes)
Symmetry-distinct sites (fractional):
1 Sm 0.0000 0.0000 0.0000 (multiplicity 3)
2 Tm 0.0000 0.0000 0.2436 (multiplicity 6)
3 Cd 0.0000 0.0000 0.5000 (multiplicity 3)

---

A plane-wave DFT calculation with GGA-PBE was carried out for a relaxed Sm7TmCd4 crystal.

## Properties
Its formation energy is -0.15 eV per formula unit.

abc: 14.9257 5.7907 9.8809
angles: 90.00 121.96 90.00
Space group C2/m (No. 12)
Symmetry-distinct sites (fractional):
1 Sm 0.0000 0.0000 0.0000 (multiplicity 2)
2 Sm 0.0703 0.5000 0.4092 (multiplicity 4)
3 Sm 0.2044 0.5000 0.8821 (multiplicity 4)
4 Sm 0.2383 0.0000 0.6952 (multiplicity 4)
5 Tm 0.0000 0.5000 0.0000 (multiplicity 2)
6 Cd 0.0413 0.0000 0.7121 (multiplicity 4)
7 Cd 0.1810 0.0000 0.3428 (multiplicity 4)

---

A plane-wave DFT calculation with GGA-PBE was carried out for a relaxed Sm3TmCd3 crystal.

## Properties
Its formation energy is -0.99 eV per formula unit.

abc: 10.5970 10.9385 7.0744
angles: 90.00 90.00 90.00
Space group Cmmm (No. 65)
Symmetry-distinct sites (fractional):
1 Sm 0.0000 0.2453 0.0000 (multiplicity 4)
2 Sm 0.2307 0.0000 0.5000 (multiplicity 4)
3 Sm 0.2316 0.0000 0.0000 (multiplicity 4)
4 Tm 0.0000 0.2510 0.5000 (multiplicity 4)
5 Cd 0.0000 0.5000 0.2519 (multiplicity 4)
6 Cd 0.2500 0.2500 0.2558 (multiplicity 8)

---

A plane-wave DFT calculation with GGA-PBE was carried out for a relaxed SmTmCd crystal.

## Properties
The calculation puts the energy above the most stable polymorph in this dataset at 0.286 eV per atom. Its formation energy is 0.29 eV per formula unit.

abc: 5.1646 5.1646 7.2925
angles: 90.00 90.00 90.00
Space group I-4m2 (No. 119)
Symmetry-distinct sites (fractional):
1 Sm 0.0000 0.0000 0.0000 (multiplicity 2)
2 Tm 0.0000 0.0000 0.5000 (multiplicity 2)
3 Cd 0.0000 0.5000 0.7500 (multiplicity 2)

---

Going through the records in order, we get raw total energy values of -3.721 -3.443 -3.195 -3.272 eV per atom.
Going through the records in order, we get calculated volume values of 29.29 30.19 29.29 32.42 Å³ per atom.
Going through the records in order, we get density of states at the Fermi level values of 1.009 1.136 1.341 1.441 states/eV/atom.